## A
The following is a PBE calculation of Pm3Cu4Sn4 after structural relaxation, from the Alexandria database.

- Magnetization: 0.00 μB per formula unit

Cell: 4.4870 4.1362 13.7826 Å, 98.63 99.37 90.00°
Fractional coordinates of all 11 atoms:
Sn1 0.0947 0.5947 0.1895
Sn2 0.7466 0.7466 0.4933
Sn3 0.9053 0.4053 0.8105
Pm1 0.0000 0.0000 0.0000
Cu1 0.8102 0.3102 0.6205
Pm2 0.6456 0.1456 0.2913
Cu2 0.5453 0.5453 0.0906
Cu3 0.4547 0.4547 0.9094
Cu4 0.1898 0.6898 0.3795
Pm3 0.3544 0.8544 0.7087
Sn4 0.2534 0.2534 0.5067

---

## B
The following is a PBE calculation of Pm3Cu4Sn4 after structural relaxation, from the Alexandria database.

- Magnetization: 0.00 μB per formula unit

Cell: 4.5607 7.0195 8.6010 Å, 114.08 105.37 90.00°
Fractional coordinates of all 11 atoms:
Sn1 0.7833 0.2833 0.5665
Cu1 0.6684 0.4843 0.3368
Pm1 0.0000 0.5000 0.0000
Cu2 0.3316 0.1475 0.6632
Pm2 0.1323 0.1323 0.2647
Pm3 0.8677 0.8677 0.7353
Cu3 0.3316 0.5157 0.6632
Sn2 0.5000 0.7988 0.0000
Cu4 0.6684 0.8525 0.3368
Sn3 0.2167 0.7167 0.4335
Sn4 0.5000 0.2012 0.0000

---

Energies relative to the most stable structure, in kJ/mol of atoms: A 10.2; B 0.0.

---

## A
The following is a PBE calculation of SrPm2Cu after structural relaxation, from the Alexandria database.

- Magnetization: 0.00 μB per formula unit

Cell: 3.8721 3.8721 11.2468 Å, 80.09 80.09 60.00°
Fractional coordinates of all 4 atoms:
Pm1 0.8878 0.8878 0.3367
Sr1 0.0000 0.0000 0.0000
Cu1 0.5000 0.5000 0.5000
Pm2 0.1122 0.1122 0.6633

---

## B
The following is a PBE calculation of SrPm2Cu after structural relaxation, from the Alexandria database.

- Magnetization: 0.00 μB per formula unit

Cell: 3.6948 3.6948 9.5967 Å, 90.00 90.00 90.00°
Fractional coordinates of all 4 atoms:
Pm1 0.0000 0.0000 0.8318
Sr1 0.5000 0.5000 0.5000
Cu1 0.5000 0.5000 0.0000
Pm2 0.0000 0.0000 0.1682

---

Energies relative to the most stable structure, in kJ/mol of atoms: A 17.4; B 0.0.